No. 1
# YTh2Pd7

Crystalline YTh2Pd7 at its relaxed geometry (PBE, Alexandria via LeMat-Bulk).

It has space group Fmmm (No. 69), with a = 5.753 Å, b = 8.622 Å, c = 17.153 Å, α = 90.00°, β = 90.00° and γ = 90.00°. The inequivalent atoms are Y at (0.000, 0.000, 0.000), Th at (0.000, 0.000, 0.332), Pd at (0.000, 0.000, 0.500), Pd at (0.250, 0.250, 0.084) and Pd at (0.250, 0.250, 0.250).

The value obtained for the size of the total moment is 0.000 μB/cell. The value obtained for the energy relative to the elements is -0.7026 eV per atom.

---

No. 2
# Ce2Cd16Ag

Crystalline Ce2Cd16Ag at its relaxed geometry (PBE, Alexandria via LeMat-Bulk).

It has space group R3m (No. 160, hexagonal axes), with a = 10.0563 Å, b = 10.0563 Å, c = 14.9928 Å, α = 90.00°, β = 90.00° and γ = 120.00°. The inequivalent atoms are Ce at (0.0000, 0.0000, 0.9998), Ce at (0.0000, 0.0000, 0.3333), Cd at (0.0000, 0.0000, 0.5625), Cd at (0.0366, 0.3692, 0.3330), Cd at (0.1690, 0.3380, 0.1445), Cd at (0.1790, 0.3580, 0.5027), Cd at (0.1819, 0.3638, 0.8501) and Ag at (0.0000, 0.0000, 0.7604).

The value obtained for the size of the total moment is 6.665 μB/cell. The value obtained for the energy relative to the elements is -0.1143 eV per atom.

---

No. 3
# Cs3Np2CdS6

Crystalline Cs3Np2CdS6 at its relaxed geometry (PBE, Alexandria via LeMat-Bulk).

It has space group C2/m (No. 12), with a = 7.124 Å, b = 12.349 Å, c = 8.381 Å, α = 90.00°, β = 106.35° and γ = 90.00°. The inequivalent atoms are Cs at (0.000, 0.000, 0.000), Cs at (0.000, 0.338, 0.000), Np at (0.000, 0.167, 0.500), Cd at (0.000, 0.500, 0.500), S at (0.217, 0.000, 0.679) and S at (0.233, 0.328, 0.682).

The value obtained for the size of the total moment is 14.000 μB/cell. As for the formation energy (no corrections): -1.18 eV per atom.

---

No. 4
# ScWCl4

Crystalline ScWCl4 at its relaxed geometry (PBE, Alexandria via LeMat-Bulk).

It has space group F-43m (No. 216), with a = 8.172 Å, b = 8.172 Å, c = 8.172 Å, α = 90.00°, β = 90.00° and γ = 90.00°. The inequivalent atoms are Sc at (0.000, 0.000, 0.000), W at (0.250, 0.250, 0.750) and Cl at (0.125, 0.125, 0.375).

The value obtained for the size of the total moment is 26.356 μB/cell. As for the formation energy (no corrections): 0.91 eV per atom.

---

No. 5
# SrPr2NpO8

Crystalline SrPr2NpO8 at its relaxed geometry (PBE, Alexandria via LeMat-Bulk).

It has space group P2/m (No. 10), with a = 4.136 Å, b = 7.950 Å, c = 5.483 Å, α = 90.00°, β = 95.52° and γ = 90.00°. The inequivalent atoms are Sr at (0.000, 0.000, 0.000), Pr at (0.500, 0.262, 0.500), Np at (0.000, 0.500, 0.000), O at (0.041, 0.298, 0.766), O at (0.436, 0.500, 0.218) and O at (0.491, 0.000, 0.716).

The value obtained for the size of the total moment is 1.049 μB/cell. As for the formation energy (no corrections): -2.82 eV per atom.

---

No. 6
# CrCoTcGe

Crystalline CrCoTcGe at its relaxed geometry (PBE, Alexandria via LeMat-Bulk).

It has space group F-43m (No. 216), with a = 5.897 Å, b = 5.897 Å, c = 5.897 Å, α = 90.00°, β = 90.00° and γ = 90.00°. The inequivalent atoms are Cr at (0.000, 0.000, 0.000), Co at (0.250, 0.250, 0.250), Tc at (0.250, 0.250, 0.750) and Ge at (0.000, 0.000, 0.500).

The value obtained for the size of the total moment is 8.066 μB/cell. The value obtained for the energy relative to the elements is -0.0947 eV per atom.

---

No. 7
# Mg2Te

Crystalline Mg2Te at its relaxed geometry (PBE, Alexandria via LeMat-Bulk).

It has space group C2/m (No. 12), with a = 12.991 Å, b = 4.083 Å, c = 7.395 Å, α = 90.00°, β = 123.39° and γ = 90.00°. The inequivalent atoms are Mg at (0.090, 0.000, 0.345), Mg at (0.120, 0.500, 0.733) and Te at (0.196, 0.500, 0.196).

The value obtained for the size of the total moment is 0.000 μB/cell. As for the formation energy (no corrections): -0.38 eV per atom.

---

No. 8
# YCuMo4

Crystalline YCuMo4 at its relaxed geometry (PBE, Alexandria via LeMat-Bulk).

It has space group F-43m (No. 216), with a = 7.585 Å, b = 7.585 Å, c = 7.585 Å, α = 90.00°, β = 90.00° and γ = 90.00°. The inequivalent atoms are Y at (0.000, 0.000, 0.000), Cu at (0.250, 0.250, 0.750) and Mo at (0.125, 0.125, 0.375).

The value obtained for the size of the total moment is 0.000 μB/cell. The value obtained for the energy relative to the elements is 0.4129 eV per atom.